4
Lattice="-9.0599 2.1189 2.2054 -9.5405 -0.1238 0.6304 -8.9524 -0.4223 3.3334" Properties=species:S:1:pos:R:3 comment="MgCuMo2 PBE optimized geometry" sg=R3m magmom_total_mub_per_fu=0.0 de_polymorph_kj_per_mol_atoms=14.8 volume_a3_per_atom=15.8 pbc="T T T"
Mg -20.7910 1.1868 4.6552
Cu -13.7922 0.7873 3.0881
Mo -27.5118 1.5705 6.1600
Mo -6.7870 0.3874 1.5196

4
Lattice="-3.9681 -1.4347 3.0026 0.3908 -4.3515 2.7805 2.8052 4.2603 -0.8948" Properties=species:S:1:pos:R:3 comment="MgCuMo2 PBE optimized geometry" sg=I4/mmm magmom_total_mub_per_fu=0.0 de_polymorph_kj_per_mol_atoms=8.1 volume_a3_per_atom=15.4 pbc="T T T"
Mo -1.7886 -2.8931 2.8915
Cu 0.7037 -1.4922 2.3886
Mo 0.0000 0.0000 0.0000
Mg -1.4758 -0.0338 2.4996

3
Lattice="4.1939 0.0000 0.0000 2.0969 3.6320 0.0000 2.0969 1.2107 3.4243" Properties=species:S:1:pos:R:3 comment="MgCuMo PBE optimized geometry" sg=F-43m magmom_total_mub_per_fu=1.0 de_polymorph_kj_per_mol_atoms=52.7 volume_a3_per_atom=17.4 pbc="T T T"
Mg 0.0000 0.0000 0.0000
Mo 4.1939 2.4213 1.7122
Cu 6.2908 3.6320 2.5682

4
Lattice="-0.4158 3.7360 3.3910 -2.3023 -1.4995 4.2521 4.0225 -0.9445 -2.9252" Properties=species:S:1:pos:R:3 comment="MgCuMo2 PBE optimized geometry" sg=Imm2 magmom_total_mub_per_fu=0.0 de_polymorph_kj_per_mol_atoms=14.6 volume_a3_per_atom=15.8 pbc="T T T"
Cu -1.3635 1.1219 3.8340
Mo 1.0997 1.9748 2.2116
Mo -2.6672 2.1946 7.4999
Mg 0.1582 -0.6445 2.6370

4
Lattice="4.7462 -0.0492 0.0000 1.5914 4.4717 0.0000 -3.1688 -2.2112 2.7564" Properties=species:S:1:pos:R:3 comment="MgCu2Mo PBE optimized geometry" sg=I-4m2 magmom_total_mub_per_fu=1.8 de_polymorph_kj_per_mol_atoms=28.8 volume_a3_per_atom=14.7 pbc="T T T"
Mg 3.1688 2.2112 0.0000
Cu 0.0000 0.0000 0.0000
Mo 2.3731 -0.0246 1.3782
Cu 0.7957 2.2358 1.3782

4
Lattice="-1.6300 -3.7286 1.7261 -1.5360 -0.0299 4.1447 -4.3405 -0.3773 0.7458" Properties=species:S:1:pos:R:3 comment="MgCuMo2 PBE optimized geometry" sg=Fm-3m magmom_total_mub_per_fu=0.0 de_polymorph_kj_per_mol_atoms=51.2 volume_a3_per_atom=15.3 pbc="T T T"
Mg 0.0000 0.0000 0.0000
Mo -5.6298 -3.1018 4.9625
Cu -3.7532 -2.0679 3.3083
Mo -1.8766 -1.0339 1.6542

4
Lattice="-0.7340 4.2866 -0.8187 -0.3599 -0.5510 -2.5623 -5.2899 -0.8594 0.2428" Properties=species:S:1:pos:R:3 comment="MgCuMo2 PBE optimized geometry" sg=Pm magmom_total_mub_per_fu=0.0 de_polymorph_kj_per_mol_atoms=7.9 volume_a3_per_atom=15.6 pbc="T T T"
Mg -4.5394 1.1193 -2.0301
Cu -2.8646 -0.7395 -1.3036
Mo -1.7168 1.8152 -0.9173
Mo -0.0878 -0.0240 -0.0470

no.,formation enthalpy at 0 K (meV per atom)
1,315
2,246
3,742
4,313
5,414
6,693
7,244